[1]
ReMoRu (GGA-PBE, relaxed); size of the total moment = 0.00 μB/f.u.; V = 17.66 A^3/atom; formation energy = 661 meV per atom; DOS(E_F) = 3.6 states/eV/cell; offset from the most stable computed form = 1.86 eV per formula unit
1.0
-0.305 -3.327 -2.571
3.481 -1.722 -1.640
1.289 -3.796 1.304
Re Mo Ru
1 1 1
direct
0.750 0.750 0.750
0.500 0.500 0.500
0.000 0.000 0.000

[2]
SbAs2Au (GGA-PBE, relaxed); formation energy (no corrections) = 0.3251 eV per atom; size of the total moment = 0.00 μB/f.u.; V = 20.99 A^3/atom; DOS(E_F) = 0.9 states/eV/cell
1.0
-2.013 1.543 4.588
-4.788 0.092 -2.134
-0.413 -2.919 0.801
As Au Sb
2 1 1
direct
0.500 0.500 0.000
0.000 0.000 0.000
0.500 0.000 0.500
0.000 0.500 0.500

[3]
SrZrCl2 (GGA-PBE, relaxed); formation energy (no corrections) = -1.0373 eV per atom; size of the total moment = 0.61 μB/f.u.; V = 29.81 A^3/atom; DOS(E_F) = 3.0 states/eV/cell; offset from the most stable computed form = 0.35 eV per formula unit
1.0
10.178 0.025 -0.002
8.980 4.791 0.002
-9.585 -2.381 2.457
Cl Sr Zr
2 1 1
direct
0.728 0.228 0.500
0.030 0.030 0.000
0.451 0.451 0.000
0.292 0.792 0.500

[4]
YScTl3 (GGA-PBE, relaxed); size of the total moment = 0.66 μB/f.u.; V = 32.29 A^3/atom; formation energy = 288 meV per atom; DOS(E_F) = 4.8 states/eV/cell; offset from the most stable computed form = 1.84 eV per formula unit
1.0
-4.377 -2.223 2.357
3.026 -4.220 1.639
1.158 2.627 4.627
Tl Y Sc
3 1 1
direct
0.000 0.000 0.500
0.500 0.000 0.000
0.000 0.500 0.000
0.500 0.500 0.500
0.000 0.000 0.000

[5]
NdSm5Sn5 (GGA-PBE, relaxed); size of the total moment = 0.58 μB/f.u.; V = 34.06 A^3/atom; formation energy = -473 meV per atom; DOS(E_F) = 10.8 states/eV/cell
1.0
-4.528 -2.361 3.687
7.057 -3.244 1.209
-0.054 7.313 4.619
Sn Sm Nd
5 5 1
direct
0.166 0.332 0.337
0.165 0.329 0.826
0.834 0.668 0.663
0.835 0.671 0.174
0.500 0.000 0.000
0.670 0.339 0.837
0.000 0.000 0.500
0.330 0.661 0.163
0.666 0.332 0.334
0.334 0.668 0.666
0.000 0.000 0.000

[6]
La3InO (GGA-PBE, relaxed); formation energy (no corrections) = -1.2970 eV per atom; size of the total moment = 0.00 μB/f.u.; V = 30.77 A^3/atom; DOS(E_F) = 7.8 states/eV/cell
1.0
7.582 -0.019 0.010
-3.497 6.292 -0.012
-1.256 2.111 6.455
La In O
6 2 2
direct
0.762 0.376 0.732
0.521 0.201 0.236
0.656 0.781 0.182
0.073 0.312 0.240
0.186 0.907 0.815
0.324 0.504 0.729
0.079 0.757 0.316
0.760 0.947 0.656
0.086 0.521 0.886
0.447 0.235 0.879

[7]
K6TlAg2 (GGA-PBE, relaxed); size of the total moment = 0.00 μB/f.u.; V = 44.73 A^3/atom; formation energy = 2 meV per atom; DOS(E_F) = 6.0 states/eV/cell
1.0
-4.924 -5.967 -6.613
4.349 -5.044 7.696
-6.491 6.363 4.577
K Ag Tl
12 4 2
direct
0.300 0.329 0.629
0.198 0.442 0.244
0.532 0.816 0.716
0.300 0.671 0.972
0.468 0.184 0.284
0.901 0.184 0.716
0.700 0.329 0.028
0.802 0.047 0.244
0.700 0.671 0.371
0.198 0.953 0.756
0.099 0.816 0.284
0.802 0.558 0.756
0.637 0.637 0.000
0.500 0.113 0.613
0.363 0.363 0.000
0.500 0.887 0.387
0.000 0.500 0.500
0.000 0.000 0.000

[8]
CrBiC2 (GGA-PBE, relaxed); size of the total moment = 0.82 μB/f.u.; V = 15.38 A^3/atom; formation energy = 1018 meV per atom; DOS(E_F) = 2.9 states/eV/cell
1.0
-3.488 -2.513 2.625
0.844 -4.099 -2.803
2.081 -4.751 3.049
C Bi Cr
4 2 2
direct
0.518 0.125 0.250
0.232 0.625 0.250
0.375 0.482 0.750
0.875 0.768 0.750
0.000 0.000 0.000
0.750 0.250 0.500
0.500 0.500 0.000
0.250 0.750 0.500

- Look up the V of the fourth one.
  32.29 A^3/atom

- Number 8 is which compound?
  CrBiC2